# SrMo2Se, PBEsol geometry, DFT SCAN
data_SrMo2Se
_chemical_formula_sum 'Sr1 Mo2 Se1'
_cell_length_a 3.4134
_cell_length_b 4.3699
_cell_length_c 5.2293
_cell_angle_alpha 90.00
_cell_angle_beta 90.00
_cell_angle_gamma 90.00
_symmetry_space_group_name_H-M 'P m m m'
_symmetry_Int_Tables_number 47
_symmetry_space_group_name_Hall '-P 2 2'
loop_
_atom_site_label
_atom_site_type_symbol
_atom_site_fract_x
_atom_site_fract_y
_atom_site_fract_z
Sr1 Sr 0.0000 0.0000 0.0000
Mo1 Mo 0.0000 0.5000 0.5000
Mo2 Mo 0.5000 0.0000 0.5000
Se1 Se 0.5000 0.5000 0.0000
# formation energy (no corrections)	0.6330	eV per atom
# energy	-27.398	eV/atom
# D(E_F)	0.944	states/eV/atom